Record 1
A plane-wave DFT calculation with PBE-GGA was carried out for PuBiPt2 after structural relaxation.

Its density of states at the Fermi level is 12.732 states/eV/f.u. The calculation puts the magnetic moment at 5.1 μB/cell. Its crystal system is tetragonal. The energy of formation is -402 meV per atom.

It has space group P4/mmm (No. 123), with a = 3.457 Å, b = 3.457 Å, c = 7.314 Å, α = 90.00°, β = 90.00° and γ = 90.00°. Symmetry generates all atoms from Pu at (0.000, 0.000, 0.000), Bi at (0.000, 0.000, 0.500) and Pt at (0.500, 0.500, 0.237).



Record 2
A plane-wave DFT calculation with PBE-GGA was carried out for TiB2Ru after structural relaxation.

Its density of states at the Fermi level is 1.803 states/eV/f.u. The calculation puts the magnetic moment at 0.0 μB/cell. Its crystal system is cubic. The energy of formation is -138 meV per atom. Its distance to the lowest polymorph of the same formula is 0 meV/atom.

It has space group Fm-3m (No. 225), with a = 5.463 Å, b = 5.463 Å, c = 5.463 Å, α = 90.00°, β = 90.00° and γ = 90.00°. Symmetry generates all atoms from Ti at (0.000, 0.000, 0.000), B at (0.250, 0.250, 0.250) and Ru at (0.000, 0.000, 0.500).



Record 3
A plane-wave DFT calculation with PBE-GGA was carried out for KScBi2 after structural relaxation.

Its density of states at the Fermi level is 3.104 states/eV/f.u. The calculation puts the magnetic moment at 0.0 μB/cell. Its crystal system is trigonal. The energy of formation is -317 meV per atom. Its distance to the lowest polymorph of the same formula is 126 meV/atom.

It has space group R3m (No. 160, hexagonal axes), with a = 4.6080 Å, b = 4.6080 Å, c = 23.8441 Å, α = 90.00°, β = 90.00° and γ = 120.00°. Symmetry generates all atoms from K at (0.0000, 0.0000, 0.0000), Sc at (0.0000, 0.0000, 0.1713), Bi at (0.0000, 0.0000, 0.5629) and Bi at (0.0000, 0.0000, 0.7775).



Record 4
A plane-wave DFT calculation with PBE-GGA was carried out for CaGe2H after structural relaxation.

Its density of states at the Fermi level is 1.058 states/eV/f.u. The calculation puts the magnetic moment at 0.0 μB/cell. Its crystal system is tetragonal. Its distance to the lowest polymorph of the same formula is 0 meV/atom.

It has space group I4_1/amd (No. 141, origin choice 2), with a = 5.375 Å, b = 5.375 Å, c = 11.219 Å, α = 90.00°, β = 90.00° and γ = 90.00°. Symmetry generates all atoms from Ca at (0.000, 0.250, 0.375), Ge at (0.000, 0.000, 0.000) and H at (0.000, 0.250, 0.875).



Record 5
A plane-wave DFT calculation with PBE-GGA was carried out for LuPuOsRh after structural relaxation.

Its density of states at the Fermi level is 5.809 states/eV/f.u. The calculation puts the magnetic moment at 16.8 μB/cell. Its crystal system is cubic. The energy of formation is -403 meV per atom.

It has space group F-43m (No. 216), with a = 6.749 Å, b = 6.749 Å, c = 6.749 Å, α = 90.00°, β = 90.00° and γ = 90.00°. Symmetry generates all atoms from Lu at (0.000, 0.000, 0.000), Pu at (0.000, 0.000, 0.500), Os at (0.250, 0.250, 0.750) and Rh at (0.250, 0.250, 0.250).



Record 6
A plane-wave DFT calculation with PBE-GGA was carried out for TmMg9Sc2 after structural relaxation.

Its density of states at the Fermi level is 9.361 states/eV/f.u. The calculation puts the magnetic moment at 0.0 μB/cell. Its crystal system is tetragonal. The energy of formation is -42 meV per atom.

It has space group P4/mmm (No. 123), with a = 4.560 Å, b = 4.560 Å, c = 13.602 Å, α = 90.00°, β = 90.00° and γ = 90.00°. Symmetry generates all atoms from Tm at (0.000, 0.000, 0.000), Mg at (0.000, 0.500, 0.172), Mg at (0.000, 0.500, 0.500), Mg at (0.500, 0.500, 0.000), Mg at (0.500, 0.500, 0.337) and Sc at (0.000, 0.000, 0.337).



Record 7
A plane-wave DFT calculation with PBE-GGA was carried out for Tb3Ga2Pd6 after structural relaxation.

Its density of states at the Fermi level is 6.364 states/eV/f.u. The calculation puts the magnetic moment at 0.0 μB/cell. Its crystal system is cubic. The energy of formation is -843 meV per atom.

It has space group Im-3m (No. 229), with a = 9.488 Å, b = 9.488 Å, c = 9.488 Å, α = 90.00°, β = 90.00° and γ = 90.00°. Symmetry generates all atoms from Tb at (0.000, 0.000, 0.293), Ga at (0.250, 0.250, 0.250) and Pd at (0.000, 0.332, 0.332).



Record 8
A plane-wave DFT calculation with PBE-GGA was carried out for PaZn3Ni2 after structural relaxation.

Its density of states at the Fermi level is 6.306 states/eV/f.u. The calculation puts the magnetic moment at 0.0 μB/cell. Its crystal system is hexagonal. The energy of formation is -300 meV per atom.

It has space group P6/mmm (No. 191), with a = 5.0030 Å, b = 5.0030 Å, c = 4.2619 Å, α = 90.00°, β = 90.00° and γ = 120.00°. Symmetry generates all atoms from Pa at (0.0000, 0.0000, 0.0000), Zn at (0.0000, 0.5000, 0.5000) and Ni at (0.3333, 0.6667, 0.0000).



Record 9
A plane-wave DFT calculation with PBE-GGA was carried out for Tb14CePr after structural relaxation.

Its density of states at the Fermi level is 23.636 states/eV/f.u. The calculation puts the magnetic moment at 1.0 μB/cell. Its crystal system is tetragonal. The energy of formation is 30 meV per atom.

It has space group P4/mmm (No. 123), with a = 7.143 Å, b = 7.143 Å, c = 10.094 Å, α = 90.00°, β = 90.00° and γ = 90.00°. Symmetry generates all atoms from Tb at (0.000, 0.000, 0.000), Tb at (0.000, 0.500, 0.000), Tb at (0.000, 0.500, 0.500), Tb at (0.248, 0.248, 0.249), Tb at (0.500, 0.500, 0.000), Ce at (0.000, 0.000, 0.500) and Pr at (0.500, 0.500, 0.500).



Record 10
A plane-wave DFT calculation with PBE-GGA was carried out for Ac2IrPt after structural relaxation.

Its density of states at the Fermi level is 2.350 states/eV/f.u. The calculation puts the magnetic moment at 0.0 μB/cell. Its crystal system is trigonal. The energy of formation is -182 meV per atom.

It has space group R-3m (No. 166, hexagonal axes), with a = 4.3377 Å, b = 4.3377 Å, c = 26.5494 Å, α = 90.00°, β = 90.00° and γ = 120.00°. Symmetry generates all atoms from Ac at (0.0000, 0.0000, 0.1046), Ir at (0.0000, 0.0000, 0.5000) and Pt at (0.0000, 0.0000, 0.0000).